Model w:
K2BiMo2: relaxed, GGA-PBE.

CIF file:
```
data_K2BiMo2
_cell_length_a 9.998
_cell_length_b 9.998
_cell_length_c 3.162
_cell_angle_alpha 90.00
_cell_angle_beta 90.00
_cell_angle_gamma 90.00
_symmetry_space_group_name_H-M 'P 4/m b m'
_symmetry_Int_Tables_number 127
_symmetry_space_group_name_Hall '-P 4 2ab'
loop_
_atom_site_label
_atom_site_fract_x
_atom_site_fract_y
_atom_site_fract_z
_atom_site_occupancy
K1 0.212 0.288 0.000 1
Bi1 0.000 0.000 0.500 1
Mo1 0.073 0.573 0.500 1
```

Summary:
Fermi-level density of states	4.70	states/eV/f.u.
volume	31.604	A^3/atom



Model x:
K2BiMo2: relaxed, GGA-PBE.

CIF file:
```
data_K2BiMo2
_cell_length_a 4.638
_cell_length_b 4.638
_cell_length_c 15.304
_cell_angle_alpha 90.00
_cell_angle_beta 90.00
_cell_angle_gamma 90.00
_symmetry_space_group_name_H-M 'I 4/m m m'
_symmetry_Int_Tables_number 139
_symmetry_space_group_name_Hall '-I 4 2'
loop_
_atom_site_label
_atom_site_fract_x
_atom_site_fract_y
_atom_site_fract_z
_atom_site_occupancy
K1 0.000 0.500 0.250 1
Bi1 0.000 0.000 0.000 1
Mo1 0.000 0.000 0.434 1
```

Summary:
Fermi-level density of states	4.11	states/eV/f.u.
volume	32.916	A^3/atom



What should be chosen as the least stable of them? Choose model x.



Model w:
K2BiN: relaxed, GGA-PBE.

CIF file:
```
data_K2BiN
_cell_length_a 7.829
_cell_length_b 7.829
_cell_length_c 7.829
_cell_angle_alpha 90.00
_cell_angle_beta 90.00
_cell_angle_gamma 90.00
_symmetry_space_group_name_H-M 'F m -3 m'
_symmetry_Int_Tables_number 225
_symmetry_space_group_name_Hall '-F 4 2 3'
loop_
_atom_site_label
_atom_site_fract_x
_atom_site_fract_y
_atom_site_fract_z
_atom_site_occupancy
K1 0.250 0.250 0.250 1
Bi1 0.000 0.000 0.000 1
N1 0.000 0.000 0.500 1
```

Summary:
Fermi-level density of states	4.68	states/eV/f.u.
volume	29.991	A^3/atom



Model x:
K2BiN: relaxed, GGA-PBE.

CIF file:
```
data_K2BiN
_cell_length_a 11.543
_cell_length_b 11.543
_cell_length_c 4.656
_cell_angle_alpha 90.00
_cell_angle_beta 90.00
_cell_angle_gamma 90.00
_symmetry_space_group_name_H-M 'I -4 2 d'
_symmetry_Int_Tables_number 122
_symmetry_space_group_name_Hall 'I -4 2bw'
loop_
_atom_site_label
_atom_site_fract_x
_atom_site_fract_y
_atom_site_fract_z
_atom_site_occupancy
K1 0.051 0.250 0.125 1
Bi1 0.000 0.000 0.500 1
N1 0.000 0.000 0.000 1
```

Summary:
Fermi-level density of states	1.91	states/eV/f.u.
volume	38.772	A^3/atom



What should be chosen as the least stable of them? Choose model w.